(1)
# AcGa2Br | Alexandria via LeMat-Bulk | PBE-GGA | relaxed
data_AcGa2Br
_chemical_formula_sum 'Ac2 Ga4 Br2'
_cell_length_a 4.438
_cell_length_b 4.363
_cell_length_c 11.280
_cell_angle_alpha 90.00
_cell_angle_beta 99.71
_cell_angle_gamma 90.00
_space_group_name_H-M_alt 'P 1 21/m 1'
_space_group_IT_number 11
_space_group_name_Hall '-P 2yb'
loop_
_atom_site_label
_atom_site_fract_x
_atom_site_fract_y
_atom_site_fract_z
_atom_site_occupancy
Ac1 0.161 0.250 0.286 1
Ga1 0.029 0.250 0.927 1
Ga2 0.422 0.750 0.919 1
Br1 0.291 0.250 0.596 1
# - size of the total moment (μB per atom) = 0.000
# - formation energy (no corrections) (eV per atom) = -0.8612

=====

(2)
# Ac2GaBr2 | Alexandria via LeMat-Bulk | PBE-GGA | relaxed
data_Ac2GaBr2
_chemical_formula_sum 'Ac4 Ga2 Br4'
_cell_length_a 7.782
_cell_length_b 4.495
_cell_length_c 12.336
_cell_angle_alpha 90.00
_cell_angle_beta 103.36
_cell_angle_gamma 90.00
_space_group_name_H-M_alt 'C 1 2/m 1'
_space_group_IT_number 12
_space_group_name_Hall '-C 2y'
loop_
_atom_site_label
_atom_site_fract_x
_atom_site_fract_y
_atom_site_fract_z
_atom_site_occupancy
Ac1 0.226 0.000 0.163 1
Ga1 0.000 0.500 0.000 1
Br1 0.050 0.000 0.681 1
# - size of the total moment (μB per atom) = 0.000
# - formation energy (no corrections) (eV per atom) = -1.2430

=====

(3)
# Ac4GaBr5 | Alexandria via LeMat-Bulk | PBE-GGA | relaxed
data_Ac4GaBr5
_chemical_formula_sum 'Ac8 Ga2 Br10'
_cell_length_a 20.046
_cell_length_b 4.547
_cell_length_c 9.131
_cell_angle_alpha 90.00
_cell_angle_beta 104.30
_cell_angle_gamma 90.00
_space_group_name_H-M_alt 'C 1 2/m 1'
_space_group_IT_number 12
_space_group_name_Hall '-C 2y'
loop_
_atom_site_label
_atom_site_fract_x
_atom_site_fract_y
_atom_site_fract_z
_atom_site_occupancy
Ac1 0.001 0.000 0.232 1
Ac2 0.156 0.500 0.088 1
Ga1 0.000 0.500 0.000 1
Br1 0.000 0.500 0.500 1
Br2 0.169 0.000 0.333 1
Br3 0.171 0.000 0.848 1
# - size of the total moment (μB per atom) = 0.000
# - formation energy (no corrections) (eV per atom) = -1.4365

=====

(4)
# Ac3GaBr | Alexandria via LeMat-Bulk | PBE-GGA | relaxed
data_Ac3GaBr
_chemical_formula_sum 'Ac6 Ga2 Br2'
_cell_length_a 4.467
_cell_length_b 10.032
_cell_length_c 8.372
_cell_angle_alpha 90.00
_cell_angle_beta 90.00
_cell_angle_gamma 90.00
_space_group_name_H-M_alt 'P m m n'
_space_group_IT_number 59
loop_
_space_group_symop_operation_xyz
'x,y,z'
'-x,-y,-z'
'-x+1/2,-y+1/2,z'
'x+1/2,y+1/2,-z'
'x+1/2,-y,-z'
'-x+1/2,y,z'
'-x,y+1/2,-z'
'x,-y+1/2,z'
loop_
_atom_site_label
_atom_site_fract_x
_atom_site_fract_y
_atom_site_fract_z
_atom_site_occupancy
Ac1 0.250 0.060 0.173 1
Ac2 0.250 0.250 0.704 1
Ga1 0.250 0.750 0.030 1
Br1 0.250 0.750 0.591 1
# - size of the total moment (μB per atom) = 0.000
# - formation energy (no corrections) (eV per atom) = -0.5487

=====

(5)
# Ac12Ga3Br5 | Alexandria via LeMat-Bulk | PBE-GGA | relaxed
data_Ac12Ga3Br5
_chemical_formula_sum 'Ac96 Ga24 Br40'
_cell_length_a 18.737
_cell_length_b 18.737
_cell_length_c 18.737
_cell_angle_alpha 90.00
_cell_angle_beta 90.00
_cell_angle_gamma 90.00
_space_group_name_H-M_alt 'I a -3 d'
_space_group_IT_number 230
_space_group_name_Hall '-I 4bd 2c 3'
loop_
_atom_site_label
_atom_site_fract_x
_atom_site_fract_y
_atom_site_fract_z
_atom_site_occupancy
Ac1 0.025 0.077 0.650 1
Ga1 0.000 0.250 0.125 1
Br1 0.000 0.000 0.000 1
Br2 0.000 0.250 0.375 1
# - size of the total moment (μB per atom) = 0.000
# - formation energy (no corrections) (eV per atom) = -0.4391

=====

(6)
# AcGaBr | Alexandria via LeMat-Bulk | PBE-GGA | relaxed
data_AcGaBr
_chemical_formula_sum 'Ac4 Ga4 Br4'
_cell_length_a 7.695
_cell_length_b 4.443
_cell_length_c 12.045
_cell_angle_alpha 90.00
_cell_angle_beta 91.74
_cell_angle_gamma 90.00
_space_group_name_H-M_alt 'C 1 2/m 1'
_space_group_IT_number 12
_space_group_name_Hall '-C 2y'
loop_
_atom_site_label
_atom_site_fract_x
_atom_site_fract_y
_atom_site_fract_z
_atom_site_occupancy
Ac1 0.009 0.000 0.187 1
Ga1 0.165 0.500 0.972 1
Br1 0.183 0.500 0.347 1
# - size of the total moment (μB per atom) = 0.000
# - formation energy (no corrections) (eV per atom) = -1.2699

=====

(7)
# Ac2GaBr2 | Alexandria via LeMat-Bulk | PBE-GGA | relaxed
data_Ac2GaBr2
_chemical_formula_sum 'Ac8 Ga4 Br8'
_cell_length_a 11.972
_cell_length_b 9.034
_cell_length_c 7.448
_cell_angle_alpha 90.00
_cell_angle_beta 107.63
_cell_angle_gamma 90.00
_space_group_name_H-M_alt 'P 1 21/c 1'
_space_group_IT_number 14
_space_group_name_Hall '-P 2ybc'
loop_
_atom_site_label
_atom_site_fract_x
_atom_site_fract_y
_atom_site_fract_z
_atom_site_occupancy
Ac1 0.010 0.107 0.241 1
Ac2 0.340 0.106 0.731 1
Ga1 0.172 0.156 0.982 1
Br1 0.170 0.646 0.003 1
Br2 0.469 0.712 0.398 1
# - size of the total moment (μB per atom) = 0.000
# - formation energy (no corrections) (eV per atom) = -1.1153

=====

(8)
# Ac2Ga2Br | Alexandria via LeMat-Bulk | PBE-GGA | relaxed
data_Ac2Ga2Br
_chemical_formula_sum 'Ac6 Ga6 Br3'
_cell_length_a 4.3716
_cell_length_b 4.3716
_cell_length_c 26.6555
_cell_angle_alpha 90.00
_cell_angle_beta 90.00
_cell_angle_gamma 120.00
_space_group_name_H-M_alt 'R -3 m'
_space_group_IT_number 166
_space_group_name_Hall '-R 3 2"'
loop_
_atom_site_label
_atom_site_fract_x
_atom_site_fract_y
_atom_site_fract_z
_atom_site_occupancy
Ac1 0.0000 0.0000 0.0829 1
Ga1 0.0000 0.0000 0.3265 1
Br1 0.0000 0.0000 0.5000 1
# - size of the total moment (μB per atom) = 0.000
# - formation energy (no corrections) (eV per atom) = -0.9498

=====

(9)
# AcGa2Br8 | Alexandria via LeMat-Bulk | PBE-GGA | relaxed
data_AcGa2Br8
_chemical_formula_sum 'Ac2 Ga4 Br16'
_cell_length_a 13.586
_cell_length_b 9.894
_cell_length_c 7.172
_cell_angle_alpha 90.00
_cell_angle_beta 103.04
_cell_angle_gamma 90.00
_space_group_name_H-M_alt 'C 1 2/m 1'
_space_group_IT_number 12
_space_group_name_Hall '-C 2y'
loop_
_atom_site_label
_atom_site_fract_x
_atom_site_fract_y
_atom_site_fract_z
_atom_site_occupancy
Ac1 0.000 0.000 0.000 1
Ga1 0.209 0.000 0.681 1
Br1 0.109 0.192 0.775 1
Br2 0.119 0.500 0.159 1
Br3 0.192 0.000 0.322 1
# - size of the total moment (μB per atom) = 0.000
# - formation energy (no corrections) (eV per atom) = -1.1119

=====

(10)
# Ac2Ga2Br | Alexandria via LeMat-Bulk | PBE-GGA | relaxed
data_Ac2Ga2Br
_chemical_formula_sum 'Ac8 Ga8 Br4'
_cell_length_a 8.109
_cell_length_b 18.615
_cell_length_c 4.379
_cell_angle_alpha 90.00
_cell_angle_beta 90.00
_cell_angle_gamma 90.00
_space_group_name_H-M_alt 'I m m a'
_space_group_IT_number 74
_space_group_name_Hall '-I 2b 2'
loop_
_atom_site_label
_atom_site_fract_x
_atom_site_fract_y
_atom_site_fract_z
_atom_site_occupancy
Ac1 0.250 0.109 0.250 1
Ga1 0.000 0.039 0.750 1
Br1 0.000 0.250 0.248 1
# - size of the total moment (μB per atom) = 0.000
# - formation energy (no corrections) (eV per atom) = -0.8891

=====

(11)
# AcGaGeBr | Alexandria via LeMat-Bulk | PBE-GGA | relaxed
data_AcGaGeBr
_chemical_formula_sum 'Ac6 Ga6 Ge6 Br6'
_cell_length_a 4.6406
_cell_length_b 4.6406
_cell_length_c 40.3002
_cell_angle_alpha 90.00
_cell_angle_beta 90.00
_cell_angle_gamma 120.00
_space_group_name_H-M_alt 'R -3 m'
_space_group_IT_number 166
_space_group_name_Hall '-R 3 2"'
loop_
_atom_site_label
_atom_site_fract_x
_atom_site_fract_y
_atom_site_fract_z
_atom_site_occupancy
Ac1 0.0000 0.0000 0.0805 1
Ga1 0.0000 0.0000 0.3085 1
Ge1 0.0000 0.0000 0.3704 1
Br1 0.0000 0.0000 0.2081 1
# - size of the total moment (μB per atom) = 0.000
# - formation energy (no corrections) (eV per atom) = -0.9446

=====

(12)
# Ac8GaGe3Br4 | Alexandria via LeMat-Bulk | PBE-GGA | relaxed
data_Ac8GaGe3Br4
_chemical_formula_sum 'Ac24 Ga3 Ge9 Br12'
_cell_length_a 9.2976
_cell_length_b 9.2976
_cell_length_c 22.3924
_cell_angle_alpha 90.00
_cell_angle_beta 90.00
_cell_angle_gamma 120.00
_space_group_name_H-M_alt 'R -3 m'
_space_group_IT_number 166
_space_group_name_Hall '-R 3 2"'
loop_
_atom_site_label
_atom_site_fract_x
_atom_site_fract_y
_atom_site_fract_z
_atom_site_occupancy
Ac1 0.0000 0.0000 0.2399 1
Ac2 0.0012 0.5006 0.2402 1
Ga1 0.0000 0.0000 0.5000 1
Ge1 0.0000 0.5000 0.5000 1
Br1 0.0000 0.0000 0.0000 1
Br2 0.0000 0.5000 0.0000 1
# - size of the total moment (μB per atom) = 0.000
# - formation energy (no corrections) (eV per atom) = -1.0766

=====

(13)
# Ac8Ga3I4Br | Alexandria via LeMat-Bulk | PBE-GGA | relaxed
data_Ac8Ga3I4Br
_chemical_formula_sum 'Ac24 Ga9 I12 Br3'
_cell_length_a 9.3547
_cell_length_b 9.3547
_cell_length_c 24.0848
_cell_angle_alpha 90.00
_cell_angle_beta 90.00
_cell_angle_gamma 120.00
_space_group_name_H-M_alt 'R -3 m'
_space_group_IT_number 166
_space_group_name_Hall '-R 3 2"'
loop_
_atom_site_label
_atom_site_fract_x
_atom_site_fract_y
_atom_site_fract_z
_atom_site_occupancy
Ac1 0.0000 0.0000 0.2346 1
Ac2 0.0158 0.5079 0.7641 1
Ga1 0.0000 0.5000 0.5000 1
I1 0.0000 0.0000 0.0000 1
I2 0.0000 0.5000 0.0000 1
Br1 0.0000 0.0000 0.5000 1
# - size of the total moment (μB per atom) = 0.000
# - formation energy (no corrections) (eV per atom) = -0.8520

=====

(14)
# Ac6Ga2I3Br | Alexandria via LeMat-Bulk | PBE-GGA | relaxed
data_Ac6Ga2I3Br
_chemical_formula_sum 'Ac12 Ga4 I6 Br2'
_cell_length_a 7.976
_cell_length_b 13.850
_cell_length_c 8.611
_cell_angle_alpha 90.00
_cell_angle_beta 108.06
_cell_angle_gamma 90.00
_space_group_name_H-M_alt 'C 1 2/m 1'
_space_group_IT_number 12
_space_group_name_Hall '-C 2y'
loop_
_atom_site_label
_atom_site_fract_x
_atom_site_fract_y
_atom_site_fract_z
_atom_site_occupancy
Ac1 0.221 0.000 0.206 1
Ac2 0.243 0.327 0.209 1
Ga1 0.000 0.167 0.000 1
I1 0.000 0.000 0.500 1
I2 0.000 0.334 0.500 1
Br1 0.000 0.500 0.000 1
# - size of the total moment (μB per atom) = 0.000
# - formation energy (no corrections) (eV per atom) = -0.8860

=====

(15)
# Ac8GaIr3Br4 | Alexandria via LeMat-Bulk | PBE-GGA | relaxed
data_Ac8GaIr3Br4
_chemical_formula_sum 'Ac16 Ga2 Ir6 Br8'
_cell_length_a 15.422
_cell_length_b 8.905
_cell_length_c 9.655
_cell_angle_alpha 90.00
_cell_angle_beta 122.21
_cell_angle_gamma 90.00
_space_group_name_H-M_alt 'C 1 2/m 1'
_space_group_IT_number 12
_space_group_name_Hall '-C 2y'
loop_
_atom_site_label
_atom_site_fract_x
_atom_site_fract_y
_atom_site_fract_z
_atom_site_occupancy
Ac1 0.022 0.238 0.305 1
Ac2 0.233 0.000 0.698 1
Ac3 0.240 0.500 0.695 1
Ga1 0.000 0.500 0.500 1
Ir1 0.000 0.000 0.500 1
Ir2 0.250 0.250 0.500 1
Br1 0.000 0.000 0.000 1
Br2 0.000 0.500 0.000 1
Br3 0.250 0.250 0.000 1
# - size of the total moment (μB per atom) = 0.000
# - formation energy (no corrections) (eV per atom) = -1.0921

=====

(16)
# Ac4GaIrBr2 | Alexandria via LeMat-Bulk | PBE-GGA | relaxed
data_Ac4GaIrBr2
_chemical_formula_sum 'Ac4 Ga1 Ir1 Br2'
_cell_length_a 7.919
_cell_length_b 4.466
_cell_length_c 8.454
_cell_angle_alpha 90.00
_cell_angle_beta 107.61
_cell_angle_gamma 90.00
_space_group_name_H-M_alt 'P 1 2/m 1'
_space_group_IT_number 10
_space_group_name_Hall '-P 2y'
loop_
_atom_site_label
_atom_site_fract_x
_atom_site_fract_y
_atom_site_fract_z
_atom_site_occupancy
Ac1 0.224 0.000 0.199 1
Ac2 0.240 0.500 0.797 1
Ga1 0.500 0.000 0.000 1
Ir1 0.000 0.500 0.000 1
Br1 0.000 0.000 0.500 1
Br2 0.500 0.500 0.500 1
# - size of the total moment (μB per atom) = 0.000
# - formation energy (no corrections) (eV per atom) = -1.0127

=====

(17)
# AcLaGaBr | Alexandria via LeMat-Bulk | PBE-GGA | relaxed
data_AcLaGaBr
_chemical_formula_sum 'Ac4 La4 Ga4 Br4'
_cell_length_a 7.805
_cell_length_b 7.805
_cell_length_c 7.805
_cell_angle_alpha 90.00
_cell_angle_beta 90.00
_cell_angle_gamma 90.00
_space_group_name_H-M_alt 'F -4 3 m'
_space_group_IT_number 216
_space_group_name_Hall 'F -4 2 3'
loop_
_atom_site_label
_atom_site_fract_x
_atom_site_fract_y
_atom_site_fract_z
_atom_site_occupancy
Ac1 0.000 0.000 0.000 1
La1 0.000 0.000 0.500 1
Ga1 0.250 0.250 0.750 1
Br1 0.250 0.250 0.250 1
# - size of the total moment (μB per atom) = 0.000
# - formation energy (no corrections) (eV per atom) = -0.7623

=====

(18)
# AcLaGaBr | Alexandria via LeMat-Bulk | PBE-GGA | relaxed
data_AcLaGaBr
_chemical_formula_sum 'Ac1 La1 Ga1 Br1'
_cell_length_a 4.473
_cell_length_b 4.487
_cell_length_c 6.319
_cell_angle_alpha 90.00
_cell_angle_beta 90.00
_cell_angle_gamma 90.00
_space_group_name_H-M_alt 'P m m m'
_space_group_IT_number 47
_space_group_name_Hall '-P 2 2'
loop_
_atom_site_label
_atom_site_fract_x
_atom_site_fract_y
_atom_site_fract_z
_atom_site_occupancy
Ac1 0.000 0.000 0.000 1
La1 0.500 0.500 0.500 1
Ga1 0.000 0.000 0.500 1
Br1 0.500 0.500 0.000 1
# - size of the total moment (μB per atom) = 0.000
# - formation energy (no corrections) (eV per atom) = -0.9234

=====

(19)
# Ac4GaNiBr2 | Alexandria via LeMat-Bulk | PBE-GGA | relaxed
data_Ac4GaNiBr2
_chemical_formula_sum 'Ac4 Ga1 Ni1 Br2'
_cell_length_a 8.065
_cell_length_b 4.301
_cell_length_c 8.298
_cell_angle_alpha 90.00
_cell_angle_beta 106.51
_cell_angle_gamma 90.00
_space_group_name_H-M_alt 'P 1 2/m 1'
_space_group_IT_number 10
_space_group_name_Hall '-P 2y'
loop_
_atom_site_label
_atom_site_fract_x
_atom_site_fract_y
_atom_site_fract_z
_atom_site_occupancy
Ac1 0.219 0.000 0.197 1
Ac2 0.245 0.500 0.783 1
Ga1 0.500 0.000 0.000 1
Ni1 0.000 0.500 0.000 1
Br1 0.000 0.000 0.500 1
Br2 0.500 0.500 0.500 1
# - size of the total moment (μB per atom) = 0.000
# - formation energy (no corrections) (eV per atom) = -0.8257